{
  "formula": "Nd2Dy3Pb4",
  "functional": "GGA-PBE",
  "state": "optimized geometry",
  "lattice": [[8.2061, -0.2193, 0.0000], [-2.9022, 7.9821, 0.0000], [0.0000, 0.0000, 8.4560]],
  "species": ["Pb", "Pb", "Pb", "Pb", "Pb", "Pb", "Pb", "Pb", "Dy", "Dy", "Dy", "Dy", "Dy", "Dy", "Nd", "Nd", "Nd", "Nd"],
  "fractional_positions": [[0.3598, 0.4911, 0.3593], [0.3312, 0.0858, 0.9594], [0.8598, 0.4911, 0.1407], [0.6688, 0.9142, 0.0406], [0.8312, 0.0858, 0.5406], [0.1688, 0.9142, 0.4594], [0.1402, 0.5089, 0.8593], [0.6402, 0.5089, 0.6407], [0.7379, 0.2448, 0.8400], [0.2621, 0.7552, 0.1600], [0.7621, 0.7552, 0.3400], [0.5000, 0.5000, 0.0000], [0.0000, 0.5000, 0.5000], [0.2379, 0.2448, 0.6600], [0.4426, 0.8064, 0.6794], [0.5574, 0.1936, 0.3206], [0.0574, 0.1936, 0.1794], [0.9426, 0.8064, 0.8206]],
  "de_polymorph_mev_per_atom": 0,
  "crystal_system": "monoclinic",
  "formation_enthalpy_0k_mev_per_atom": -589,
  "e_tot_ev_per_atom": -4.83
}


{
  "formula": "NdDy3Pb2",
  "functional": "GGA-PBE",
  "state": "optimized geometry",
  "lattice": [[-4.5096, -0.7392, 0.7332], [4.1570, -1.3080, 9.6421], [-2.0409, 8.5554, -3.9276]],
  "species": ["Pb", "Pb", "Pb", "Pb", "Nd", "Nd", "Dy", "Dy", "Dy", "Dy", "Dy", "Dy"],
  "fractional_positions": [[0.2447, 0.4895, 0.7777], [0.7553, 0.5105, 0.2223], [0.5087, 0.0174, 0.1707], [0.4913, 0.9826, 0.8293], [0.8855, 0.7709, 0.9012], [0.1145, 0.2291, 0.0988], [0.6439, 0.2877, 0.8029], [0.6920, 0.3841, 0.4944], [0.0578, 0.1156, 0.4282], [0.3080, 0.6159, 0.5056], [0.3561, 0.7123, 0.1971], [0.9422, 0.8844, 0.5718]],
  "de_polymorph_mev_per_atom": 69,
  "crystal_system": "monoclinic",
  "formation_enthalpy_0k_mev_per_atom": -338,
  "e_tot_ev_per_atom": -4.67
}


{
  "formula": "NdDy5Pb6",
  "functional": "GGA-PBE",
  "state": "optimized geometry",
  "lattice": [[4.7893, 0.0001, -1.4830], [-0.9819, 8.3216, -3.1713], [0.1555, -1.3454, 9.0777]],
  "species": ["Dy", "Dy", "Dy", "Dy", "Dy", "Nd", "Pb", "Pb", "Pb", "Pb", "Pb", "Pb"],
  "fractional_positions": [[0.0000, 0.5000, 0.0000], [0.6675, 0.1675, 0.3351], [0.3321, 0.3320, 0.6641], [0.6679, 0.6680, 0.3359], [0.3325, 0.8325, 0.6649], [0.0000, 0.0000, 0.0000], [0.5000, 0.2542, 0.0000], [0.8317, 0.5798, 0.6637], [0.8316, 0.0839, 0.6637], [0.5000, 0.7458, 0.0000], [0.1683, 0.4202, 0.3363], [0.1684, 0.9161, 0.3363]],
  "crystal_system": "monoclinic",
  "formation_enthalpy_0k_mev_per_atom": -440,
  "e_tot_ev_per_atom": -4.61
}


{
  "formula": "Nd2DyPb",
  "functional": "GGA-PBE",
  "state": "optimized geometry",
  "lattice": [[-1.4292, -2.7086, -1.8914], [1.0285, -3.3878, 0.6493], [-9.1014, -3.1494, 7.9624]],
  "species": ["Nd", "Nd", "Dy", "Pb"],
  "fractional_positions": [[0.9117, 0.9117, 0.2649], [0.0883, 0.0883, 0.7351], [0.5000, 0.5000, 0.5000], [0.0000, 0.0000, 0.0000]],
  "de_polymorph_mev_per_atom": 357,
  "crystal_system": "trigonal",
  "formation_enthalpy_0k_mev_per_atom": 40,
  "e_tot_ev_per_atom": -4.42
}